# 1
! DyEr7Tm2 | Alexandria | GGA-PBE | optimized geometry; values from VASP
! space-group type: Immm
! N(E_F): 1.76 states/eV per atom
! uncorrected energy: -44.96 eV per formula unit
&SYSTEM
  ibrav = 0, nat = 10, ntyp = 3
/
ATOMIC_SPECIES
Dy 162.50 Dy.upf
Er 167.26 Er.upf
Tm 168.93 Tm.upf
CELL_PARAMETERS angstrom
-2.674 3.462 8.228
2.674 -3.462 8.228
2.674 3.462 -8.228
ATOMIC_POSITIONS crystal
Dy 0.000 0.000 0.000
Er 0.140 0.390 0.751
Er 0.200 0.200 0.000
Er 0.361 0.610 0.751
Er 0.500 0.000 0.500
Er 0.639 0.390 0.249
Er 0.800 0.800 0.000
Er 0.860 0.610 0.249
Tm 0.301 0.801 0.500
Tm 0.699 0.199 0.500


# 2
! SrZnAg3Hg | Alexandria | GGA-PBE | optimized geometry; values from VASP
! space-group type: Cmcm
! N(E_F): 0.40 states/eV per atom
! uncorrected energy: -12.42 eV per formula unit
&SYSTEM
  ibrav = 0, nat = 12, ntyp = 4
/
ATOMIC_SPECIES
Sr 87.62 Sr.upf
Zn 65.41 Zn.upf
Ag 107.87 Ag.upf
Hg 200.59 Hg.upf
CELL_PARAMETERS angstrom
3.355 -6.896 0.000
3.355 6.896 0.000
0.000 0.000 6.059
ATOMIC_POSITIONS crystal
Sr 0.213 0.787 0.750
Sr 0.787 0.213 0.250
Zn 0.436 0.564 0.750
Zn 0.564 0.436 0.250
Ag 0.209 0.209 0.000
Ag 0.209 0.209 0.500
Ag 0.364 0.636 0.250
Ag 0.636 0.364 0.750
Ag 0.791 0.791 0.000
Ag 0.791 0.791 0.500
Hg 0.155 0.845 0.250
Hg 0.845 0.155 0.750


# 3
! LaPuCdIr | Alexandria | GGA-PBE | optimized geometry; values from VASP
! space-group type: F-43m
! N(E_F): 2.35 states/eV per atom
! uncorrected energy: -30.03 eV per formula unit
&SYSTEM
  ibrav = 0, nat = 4, ntyp = 4
/
ATOMIC_SPECIES
La 138.91 La.upf
Pu 244.00 Pu.upf
Cd 112.41 Cd.upf
Ir 192.22 Ir.upf
CELL_PARAMETERS angstrom
0.000 3.659 3.659
3.659 0.000 3.659
3.659 3.659 0.000
ATOMIC_POSITIONS crystal
La 0.000 0.000 0.000
Pu 0.500 0.500 0.500
Cd 0.750 0.750 0.750
Ir 0.250 0.250 0.250


# 4
! KLaTc2Te | Alexandria | GGA-PBE | optimized geometry; values from VASP
! space-group type: P4/mmm
! N(E_F): 0.80 states/eV per atom
! uncorrected energy: -21.30 eV per formula unit
! formation energy without anion corrections: 1.72 eV/atom
&SYSTEM
  ibrav = 0, nat = 5, ntyp = 4
/
ATOMIC_SPECIES
K 39.10 K.upf
La 138.91 La.upf
Tc 98.00 Tc.upf
Te 127.60 Te.upf
CELL_PARAMETERS angstrom
4.727 0.000 0.000
0.000 4.727 0.000
0.000 0.000 5.921
ATOMIC_POSITIONS crystal
K 0.000 0.000 0.000
La 0.500 0.500 0.500
Tc 0.000 0.500 0.000
Tc 0.500 0.000 0.000
Te 0.000 0.000 0.500